BaFeOs2O8: relaxed, PBE+U.

```
BaFeOs2O8
1.0
5.802 0.000 0.000
-2.901 5.025 0.000
0.000 0.000 7.347
Ba Fe Os O
1 1 2 8
Direct
0.000 0.000 0.000
0.000 0.000 0.500
0.333 0.667 0.741
0.667 0.333 0.259
0.116 0.320 0.684
0.204 0.884 0.684
0.320 0.204 0.316
0.333 0.667 0.988
0.667 0.333 0.012
0.680 0.796 0.684
0.796 0.116 0.316
0.884 0.680 0.316
```

Raw total energy = -85.00 eV for the cell shown
Size of the total moment = 8.01 μB per formula unit
Space-group type = P-3, No. 147